1.
{
  "formula": "ErMn2",
  "functional": "PBEsol",
  "state": "optimized geometry",
  "cell": [[-1.5433, 3.7855, 2.8286], [-4.2752, -0.5998, 2.4648], [3.7771, -2.9153, 6.7786]],
  "species": ["Er", "Mn", "Er", "Mn", "Mn", "Er", "Mn", "Mn", "Er", "Mn", "Mn", "Mn"],
  "frac_coords": [[0.6684, 0.6684, 0.9377], [0.3305, 0.8375, 0.2540], [0.6663, 0.6663, 0.5636], [0.6695, 0.1625, 0.7460], [0.1625, 0.6695, 0.7460], [0.3337, 0.3337, 0.4364], [0.1702, 0.1702, 0.7555], [0.8298, 0.8298, 0.2445], [0.3316, 0.3316, 0.0623], [0.8375, 0.3305, 0.2540], [0.0000, 0.0000, 0.5000], [0.0000, 0.0000, 0.0000]],
  "mass_density_g_cm3": 10.126,
  "dos_ef_per_ev_atom": 1.06,
  "final_energy_ev_per_atom": -8.080,
  "magnetic_moment_mub_per_atom": 0.255,
  "formation_energy_ev_per_fu": 0.2,
  "space_group": "No. 12"
}

***

2.
{
  "formula": "Ba2H6Os",
  "functional": "PBEsol",
  "state": "optimized geometry",
  "cell": [[-4.1556, 3.3236, -1.8012], [-5.3257, -1.7684, 0.2633], [-3.5482, 2.3119, 3.6912]],
  "species": ["H", "H", "Ba", "Ba", "H", "H", "Os", "H", "H"],
  "frac_coords": [[0.2180, 0.7820, 0.2180], [0.2180, 0.7820, 0.7820], [0.2500, 0.2500, 0.2500], [0.7500, 0.7500, 0.7500], [0.7820, 0.2180, 0.7820], [0.7820, 0.7820, 0.2180], [0.0000, 0.0000, 0.0000], [0.2180, 0.2180, 0.7820], [0.7820, 0.2180, 0.2180]],
  "mass_density_g_cm3": 6.238,
  "dos_ef_per_ev_atom": 0.00,
  "final_energy_ev_per_atom": -4.576,
  "magnetic_moment_mub_per_atom": 0.000,
  "space_group": "No. 225"
}

***

3.
{
  "formula": "TiAl2Mo2",
  "functional": "PBEsol",
  "state": "optimized geometry",
  "cell": [[-3.2247, 0.7066, 0.6601], [-0.0332, -4.6684, 4.8346], [1.9301, 4.6244, 4.4786]],
  "species": ["Mo", "Mo", "Al", "Ti", "Ti", "Al", "Al", "Mo", "Mo", "Al"],
  "frac_coords": [[0.5000, 0.1725, 0.6725], [0.5000, 0.3275, 0.1725], [0.0000, 0.1285, 0.3715], [0.0000, 0.0000, 0.0000], [0.0000, 0.5000, 0.5000], [0.0000, 0.6285, 0.1285], [0.0000, 0.8715, 0.6285], [0.5000, 0.8275, 0.3275], [0.5000, 0.6725, 0.8275], [0.0000, 0.3715, 0.8715]],
  "mass_density_g_cm3": 6.415,
  "dos_ef_per_ev_atom": 0.38,
  "final_energy_ev_per_atom": -8.200,
  "magnetic_moment_mub_per_atom": 0.000,
  "formation_energy_ev_per_fu": -1.0,
  "space_group": "No. 127"
}

***

4.
{
  "formula": "RbY2MgOs",
  "functional": "PBEsol",
  "state": "optimized geometry",
  "cell": [[-3.8018, 1.6565, -2.3090], [-2.9478, -4.4872, 1.6345], [-1.6124, 2.7432, 4.6229]],
  "species": ["Rb", "Y", "Y", "Mg", "Os"],
  "frac_coords": [[0.5000, 0.5000, 0.5000], [0.0000, 0.5000, 0.0000], [0.0000, 0.0000, 0.5000], [0.0000, 0.0000, 0.0000], [0.5000, 0.0000, 0.0000]],
  "mass_density_g_cm3": 5.307,
  "dos_ef_per_ev_atom": 1.59,
  "final_energy_ev_per_atom": -4.519,
  "magnetic_moment_mub_per_atom": 0.000,
  "formation_energy_ev_per_fu": 6.0,
  "space_group": "No. 123"
}

***

5.
{
  "formula": "Sr2CdTe",
  "functional": "PBEsol",
  "state": "optimized geometry",
  "cell": [[-0.5289, 3.2853, -2.3544], [0.7248, -2.2589, -3.3149], [-7.4734, -1.5952, -0.5471]],
  "species": ["Sr", "Cd", "Sr", "Te"],
  "frac_coords": [[0.0000, 0.0000, 0.2476], [0.5000, 0.5000, 0.5000], [0.0000, 0.0000, 0.7524], [0.5000, 0.5000, 0.0000]],
  "mass_density_g_cm3": 5.417,
  "dos_ef_per_ev_atom": 0.40,
  "final_energy_ev_per_atom": -2.999,
  "magnetic_moment_mub_per_atom": 0.000,
  "formation_energy_uncorrected_ev_per_atom": -0.898,
  "space_group": "No. 123"
}

***

6.
{
  "formula": "ZrZnH3",
  "functional": "PBEsol",
  "state": "optimized geometry",
  "cell": [[-3.2880, -1.7918, 0.2261], [0.5386, -0.5247, 3.6752], [-1.7238, 3.2537, 0.7171]],
  "species": ["Zr", "H", "Zn", "H", "H"],
  "frac_coords": [[0.0000, 0.0000, 0.0000], [0.0000, 0.5000, 0.0000], [0.5000, 0.5000, 0.5000], [0.5000, 0.0000, 0.0000], [0.0000, 0.0000, 0.5000]],
  "mass_density_g_cm3": 5.022,
  "dos_ef_per_ev_atom": 0.21,
  "final_energy_ev_per_atom": -4.074,
  "magnetic_moment_mub_per_atom": 0.000,
  "space_group": "No. 221"
}

***

7.
{
  "formula": "CuAg2Pb",
  "functional": "PBEsol",
  "state": "optimized geometry",
  "cell": [[4.0562, 0.0000, 0.0000], [0.0000, 4.0562, 0.0000], [0.0000, 0.0000, 4.3318]],
  "species": ["Ag", "Cu", "Pb", "Ag"],
  "frac_coords": [[0.5000, 0.0000, 0.0000], [0.5000, 0.5000, 0.5000], [0.0000, 0.0000, 0.5000], [0.0000, 0.5000, 0.0000]],
  "mass_density_g_cm3": 11.335,
  "dos_ef_per_ev_atom": 0.31,
  "final_energy_ev_per_atom": -3.547,
  "magnetic_moment_mub_per_atom": 0.000,
  "formation_energy_ev_per_fu": 0.8,
  "space_group": "No. 123"
}

***

8.
{
  "formula": "AgHg2",
  "functional": "PBEsol",
  "state": "optimized geometry",
  "cell": [[3.1550, 0.0000, 0.0000], [-1.5775, 5.3182, 0.0657], [0.0000, -1.5451, 7.2090]],
  "species": ["Ag", "Hg", "Ag", "Hg", "Hg", "Hg"],
  "frac_coords": [[0.6541, 0.3083, 0.3058], [0.3611, 0.7223, 0.6937], [0.9901, 0.9803, 0.0196], [0.0783, 0.1567, 0.5890], [0.3774, 0.7549, 0.2833], [0.7055, 0.4110, 0.9420]],
  "mass_density_g_cm3": 13.940,
  "dos_ef_per_ev_atom": 0.27,
  "final_energy_ev_per_atom": -1.441,
  "magnetic_moment_mub_per_atom": 0.000,
  "formation_energy_ev_per_fu": 0.1,
  "space_group": "No. 8"
}

***

9.
{
  "formula": "Li3Rh",
  "functional": "PBEsol",
  "state": "optimized geometry",
  "cell": [[-1.7783, -0.9774, 1.8742], [-0.3688, -3.7720, -2.3170], [4.3939, 0.6632, 2.4793]],
  "species": ["Li", "Rh", "Li", "Li"],
  "frac_coords": [[0.7469, 0.7469, 0.4937], [0.0000, 0.5000, 0.0000], [0.2531, 0.2531, 0.5063], [0.5000, 0.0000, 0.0000]],
  "mass_density_g_cm3": 3.836,
  "dos_ef_per_ev_atom": 0.65,
  "final_energy_ev_per_atom": -3.524,
  "magnetic_moment_mub_per_atom": 0.032,
  "formation_energy_ev_per_fu": -0.1,
  "space_group": "No. 71"
}

***

10.
{
  "formula": "PAuO4",
  "functional": "PBEsol",
  "state": "optimized geometry",
  "cell": [[-2.4979, -4.0267, 1.0593], [2.2865, -3.5539, -2.3911], [4.4217, -2.2720, 5.8198]],
  "species": ["Au", "O", "O", "P", "O", "Au", "O", "O", "O", "O", "P", "O"],
  "frac_coords": [[0.5000, 0.0000, 0.5000], [0.1073, 0.2374, 0.2125], [0.7626, 0.8927, 0.2875], [0.0738, 0.9262, 0.2500], [0.7988, 0.2416, 0.9141], [0.0000, 0.5000, 0.0000], [0.7584, 0.2012, 0.5859], [0.2416, 0.7988, 0.4141], [0.2012, 0.7584, 0.0859], [0.2374, 0.1073, 0.7125], [0.9262, 0.0738, 0.7500], [0.8927, 0.7626, 0.7875]],
  "mass_density_g_cm3": 5.619,
  "dos_ef_per_ev_atom": 0.00,
  "final_energy_ev_per_atom": -6.433,
  "magnetic_moment_mub_per_atom": 0.000,
  "formation_energy_uncorrected_ev_per_atom": -1.315,
  "space_group": "No. 15"
}

***

11.
{
  "formula": "CuSbPb",
  "functional": "PBEsol",
  "state": "optimized geometry",
  "cell": [[-2.5510, -1.8306, -0.9774], [1.4439, -2.7699, 1.0278], [-2.0825, 2.9957, 5.5523]],
  "species": ["Sb", "Pb", "Cu"],
  "frac_coords": [[0.6321, 0.6321, 0.2641], [0.3579, 0.3579, 0.7159], [0.0100, 0.0100, 0.0200]],
  "mass_density_g_cm3": 9.715,
  "dos_ef_per_ev_atom": 0.42,
  "final_energy_ev_per_atom": -4.135,
  "magnetic_moment_mub_per_atom": 0.000,
  "formation_energy_uncorrected_ev_per_atom": 0.162,
  "space_group": "No. 42"
}

***

12.
{
  "formula": "La2CdIn",
  "functional": "PBEsol",
  "state": "optimized geometry",
  "cell": [[-1.6782, -3.0035, 1.7855], [4.0933, -3.1462, -1.4452], [1.3928, 4.3499, 4.4190]],
  "species": ["In", "La", "Cd", "La"],
  "frac_coords": [[0.2217, 0.7217, 0.4435], [0.7632, 0.2632, 0.5264], [0.5221, 0.5221, 0.0443], [0.9929, 0.9929, 0.9858]],
  "mass_density_g_cm3": 7.437,
  "dos_ef_per_ev_atom": 0.98,
  "final_energy_ev_per_atom": -4.111,
  "magnetic_moment_mub_per_atom": 0.000,
  "formation_energy_ev_per_fu": -1.6,
  "space_group": "No. 44"
}